# PBE LiMgAl2, optimized geometry
# Energy of formation from the pure elements in eV/atom: -0.04
# Uncorrected energy in eV per atom: -2.7836
# DOS(E_F) in states/eV per cell: 0.92
data_LiMgAl2
_space_group_name_H-M_alt 'P 4 m m'
_space_group_IT_number 99
_space_group_name_Hall 'P 4 -2'
_cell_length_a 2.8809
_cell_length_b 2.8809
_cell_length_c 8.7707
_cell_angle_alpha 90.00
_cell_angle_beta 90.00
_cell_angle_gamma 90.00
loop_
_atom_site_label
_atom_site_type_symbol
_atom_site_fract_x
_atom_site_fract_y
_atom_site_fract_z
Li1 Li 0.0000 0.0000 0.0000
Mg1 Mg 0.5000 0.5000 0.2678
Al1 Al 0.0000 0.0000 0.5287
Al2 Al 0.5000 0.5000 0.7654

# PBE Li12Mg7Al, optimized geometry
# Energy of formation from the pure elements in eV/atom: 0.35
# Uncorrected energy in eV per atom: -1.5406
# DOS(E_F) in states/eV per cell: 10.35
data_Li12Mg7Al
_space_group_name_H-M_alt 'I m -3'
_space_group_IT_number 204
_space_group_name_Hall '-I 2 2 3'
_cell_length_a 10.2473
_cell_length_b 10.2473
_cell_length_c 10.2473
_cell_angle_alpha 90.00
_cell_angle_beta 90.00
_cell_angle_gamma 90.00
loop_
_atom_site_label
_atom_site_type_symbol
_atom_site_fract_x
_atom_site_fract_y
_atom_site_fract_z
Li1 Li 0.0000 0.2493 0.3553
Mg1 Mg 0.0000 0.0000 0.5000
Mg2 Mg 0.2500 0.2500 0.2500
Al1 Al 0.0000 0.0000 0.0000

# PBE Li4MgAl2, optimized geometry
# Energy of formation from the pure elements in eV/atom: -0.12
# Uncorrected energy in eV per atom: -2.5154
# DOS(E_F) in states/eV per cell: 2.70
data_Li4MgAl2
_space_group_name_H-M_alt 'C 1 2/m 1'
_space_group_IT_number 12
_space_group_name_Hall '-C 2y'
_cell_length_a 7.7892
_cell_length_b 4.5391
_cell_length_c 7.3102
_cell_angle_alpha 90.00
_cell_angle_beta 111.08
_cell_angle_gamma 90.00
loop_
_atom_site_label
_atom_site_type_symbol
_atom_site_fract_x
_atom_site_fract_y
_atom_site_fract_z
Li1 Li 0.0701 0.0000 0.2108
Li2 Li 0.2257 0.0000 0.6763
Mg1 Mg 0.0000 0.5000 0.5000
Al1 Al 0.1419 0.5000 0.9264

# PBE LiMgAl2, optimized geometry
# Energy of formation from the pure elements in eV/atom: -0.06
# Uncorrected energy in eV per atom: -2.8117
# DOS(E_F) in states/eV per cell: 1.23
data_LiMgAl2
_space_group_name_H-M_alt 'P m m 2'
_space_group_IT_number 25
_space_group_name_Hall 'P 2 -2'
_cell_length_a 2.9812
_cell_length_b 4.7238
_cell_length_c 5.1072
_cell_angle_alpha 90.00
_cell_angle_beta 90.00
_cell_angle_gamma 90.00
loop_
_atom_site_label
_atom_site_type_symbol
_atom_site_fract_x
_atom_site_fract_y
_atom_site_fract_z
Li1 Li 0.0000 0.0000 0.0000
Mg1 Mg 0.0000 0.5000 0.6780
Al1 Al 0.5000 0.0000 0.4833
Al2 Al 0.5000 0.5000 0.1785